## AlOs2W (PBE)

Data for AlOs2W after structural relaxation.

CIF file:
```
data_AlOs2W
_chemical_formula_sum 'Al1 Os2 W1'
_cell_length_a 2.803
_cell_length_b 2.803
_cell_length_c 7.512
_cell_angle_alpha 90.00
_cell_angle_beta 90.00
_cell_angle_gamma 90.00
_symmetry_space_group_name_H-M 'P 4 m m'
_symmetry_Int_Tables_number 99
loop_
_symmetry_equiv_pos_as_xyz
'x,y,z'
'-y,x,z'
'-x,-y,z'
'y,-x,z'
'-x,y,z'
'y,x,z'
'x,-y,z'
'-y,-x,z'
loop_
_atom_site_label
_atom_site_fract_x
_atom_site_fract_y
_atom_site_fract_z
Al1 0.000 0.000 0.000
Os1 0.000 0.000 0.475
Os2 0.500 0.500 0.235
W1 0.500 0.500 0.738
```

## Properties
Theoretical density (g/cm³): 16.63
Formation energy from the elements (eV per atom): 0.003